Entry from Alexandria via LeMat-Bulk: a relaxed NaSnP crystal (GGA-PBE).

Raw total energy in eV per atom: -3.83
M_tot in μB/cell: 0.0
ΔH_f (0 K) in eV/atom: -0.25

Cell lengths 5.366, 4.192, 7.084 Å; angles 90.00, 111.30, 90.00 degrees
Atoms (fractional coordinates):
Na 0.199 0.250 0.434
Na 0.801 0.750 0.566
Sn 0.274 0.750 0.080
Sn 0.726 0.250 0.920
P 0.386 0.750 0.748
P 0.614 0.250 0.252

---

Entry from Alexandria via LeMat-Bulk: a relaxed Na2SnP crystal (GGA-PBE).

Raw total energy in eV per atom: -2.96
M_tot in μB/cell: 0.0
Polymorph energy (0 for the lowest one) in eV per atom: 0.0185
ΔH_f (0 K) in eV/atom: 0.05

Cell lengths 10.845, 10.845, 10.845 Å; angles 157.18, 157.18, 32.49 degrees
Atoms (fractional coordinates):
Na 0.101 0.625 0.976
Na 0.375 0.351 0.476
Na 0.649 0.125 0.024
Na 0.875 0.899 0.524
Sn 0.250 0.750 0.500
Sn 0.500 0.500 0.000
P 0.000 0.000 0.000
P 0.750 0.250 0.500

---

Entry from Alexandria via LeMat-Bulk: a relaxed Na2SnP2 crystal (GGA-PBE).

Raw total energy in eV per atom: -3.77
M_tot in μB/cell: 0.0
Polymorph energy (0 for the lowest one) in eV per atom: 0.0000
ΔH_f (0 K) in eV/atom: -0.27

Cell lengths 7.372, 7.372, 7.372 Å; angles 121.97, 84.02, 125.07 degrees
Atoms (fractional coordinates):
Na 0.141 0.118 0.259
Na 0.359 0.618 0.977
Na 0.641 0.382 0.023
Na 0.859 0.882 0.741
Sn 0.250 0.750 0.500
Sn 0.750 0.250 0.500
P 0.107 0.710 0.818
P 0.393 0.210 0.603
P 0.607 0.790 0.397
P 0.893 0.290 0.182

---

Entry from Alexandria via LeMat-Bulk: a relaxed Na2SnP crystal (GGA-PBE).

Raw total energy in eV per atom: -2.98
M_tot in μB/cell: 0.0
Polymorph energy (0 for the lowest one) in eV per atom: 0.0000
ΔH_f (0 K) in eV/atom: 0.03

Cell lengths 5.067, 5.067, 5.067 Å; angles 60.00, 60.00, 60.00 degrees
Atoms (fractional coordinates):
Na 0.250 0.250 0.250
Na 0.750 0.750 0.750
Sn 0.000 0.000 0.000
P 0.500 0.500 0.500

---

Entry from Alexandria via LeMat-Bulk: a relaxed NaSnP crystal (GGA-PBE).

Raw total energy in eV per atom: -3.88
M_tot in μB/cell: 0.0
ΔH_f (0 K) in eV/atom: -0.30

Cell lengths 3.910, 3.910, 5.931 Å; angles 90.00, 90.00, 120.00 degrees
Atoms (fractional coordinates):
Na 0.000 0.000 0.000
Sn 0.333 0.667 0.547
P 0.667 0.333 0.321

---

Entry from Alexandria via LeMat-Bulk: a relaxed NaSnP3 crystal (GGA-PBE).

Raw total energy in eV per atom: -3.08
M_tot in μB/cell: 0.0
Polymorph energy (0 for the lowest one) in eV per atom: 0.4375
ΔH_f (0 K) in eV/atom: 1.23

Cell lengths 4.889, 4.889, 4.889 Å; angles 90.00, 90.00, 90.00 degrees
Atoms (fractional coordinates):
Na 0.000 0.000 0.000
Sn 0.500 0.500 0.500
P 0.000 0.000 0.500
P 0.000 0.500 0.000
P 0.500 0.000 0.000

---

Entry from Alexandria via LeMat-Bulk: a relaxed NaSnP3 crystal (GGA-PBE).

Raw total energy in eV per atom: -3.52
M_tot in μB/cell: 0.0
Polymorph energy (0 for the lowest one) in eV per atom: 0.0000
ΔH_f (0 K) in eV/atom: 0.79

Cell lengths 5.135, 5.135, 5.135 Å; angles 90.00, 90.00, 90.00 degrees
Atoms (fractional coordinates):
Na 0.000 0.000 0.000
Sn 0.500 0.500 0.500
P 0.000 0.500 0.500
P 0.500 0.000 0.500
P 0.500 0.500 0.000

---

Entry from Alexandria via LeMat-Bulk: a relaxed NaSnP crystal (GGA-PBE).

Raw total energy in eV per atom: -3.67
M_tot in μB/cell: 0.0
ΔH_f (0 K) in eV/atom: -0.09

Cell lengths 6.254, 6.254, 6.254 Å; angles 147.11, 147.11, 47.20 degrees
Atoms (fractional coordinates):
Na 0.000 0.000 0.000
Sn 0.718 0.718 0.000
P 0.322 0.322 0.000